A relaxed VF5 crystal. Source: Alexandria, functional PBE with a Hubbard U.

N(E_F) = 0.000 states/eV/atom
Total magnetization = 0.0 μB per cell
Uncorrected energy = -5.18 eV/atom

```
data_VF5
_space_group_name_H-M_alt 'P n m a'
_space_group_IT_number 62
_cell_length_a 9.5861
_cell_length_b 6.2157
_cell_length_c 6.3177
_cell_angle_alpha 90.00
_cell_angle_beta 90.00
_cell_angle_gamma 90.00
loop_
_space_group_symop_operation_xyz
'x,y,z'
'-x,-y,-z'
'-x+1/2,-y,z+1/2'
'x+1/2,y,-z+1/2'
'x+1/2,-y+1/2,-z+1/2'
'-x+1/2,y+1/2,z+1/2'
'-x,y+1/2,-z'
'x,-y+1/2,z'
loop_
_atom_site_label
_atom_site_type_symbol
_atom_site_fract_x
_atom_site_fract_y
_atom_site_fract_z
_atom_site_occupancy
V1 V 0.0044 0.2500 0.0967 1
F1 F 0.0080 0.5580 0.1673 1
F2 F 0.0157 0.2500 0.3738 1
F3 F 0.1786 0.7500 0.9245 1
F4 F 0.1839 0.2500 0.0379 1
```